VASP calculation (PBE) on crystalline Pr2TlRu at its relaxed geometry.

Cell: 4.0297 4.0297 8.7786 Å, 76.73 76.73 60.00°
Fractional positions:
Tl 0.5000 0.5000 0.5000
Ru 0.0000 0.0000 0.0000
Pr 0.7316 0.7316 0.8052
Pr 0.2684 0.2684 0.1948

Output
magnetization	0.00	Bohr magnetons per cell
E above lowest polymorph	110	meV per atom
formation energy from the elements	-128.0	meV per atom
calculated volume	119	Å³ per cell